# 1
First-principles (PBE) data for a relaxed structure of LiMgMnSe2, as listed in Alexandria via LeMat-Bulk.

Computed properties:
Raw formation energy = 0.243 eV per atom
Total DFT energy (no corrections) = -3.687 eV/atom
Volume = 119.0 Å³ per cell

Cell lengths 5.0410, 4.6844, 5.0410 Å; angles 90.00, 90.00, 90.00 degrees
Closest atoms and distances in Å follow each position.
Fractional positions:
Mg 0.0000 0.0000 0.0000  2 Li 2.34, 4 Se 2.52
Se 0.0000 0.0000 0.5000  2 Mg 2.52
Se 0.5000 0.0000 0.0000  2 Mg 2.52
Li 0.0000 0.5000 0.0000  2 Mg 2.34
Mn 0.5000 0.5000 0.5000  8 Se 3.44, 4 Li 3.56

***

# 2
First-principles (PBE) data for a relaxed structure of LiTbMgMn, as listed in Alexandria via LeMat-Bulk.

Computed properties:
Total DFT energy (no corrections) = -4.163 eV/atom
E_form = 0.164 eV per atom
Volume = 84.6 Å³ per cell

Cell lengths 4.9281, 4.9281, 4.9281 Å; angles 60.00, 60.00, 60.00 degrees
Closest atoms and distances in Å follow each position.
Fractional positions:
Tb 0.7500 0.7500 0.7500  4 Mn 3.02, 4 Li 3.02
Mg 0.2500 0.2500 0.2500  4 Mn 3.02, 4 Li 3.02
Li 0.0000 0.0000 0.0000  4 Tb 3.02, 4 Mg 3.02
Mn 0.5000 0.5000 0.5000  4 Tb 3.02, 4 Mg 3.02

***

Number 1: spin magnetization 4.5 μB/cell. Number 2: spin magnetization 4.2 μB/cell.